No. 1
Density functional theory data (PBE-GGA) for an optimized crystal structure of Li2CaRhF8.

Formation energy from raw total energies: -2.57 eV per atom
Final energy: -0.3613 Ry per atom
SG: P-1 (2)

Geometry as extended XYZ:
```
12
Lattice="-2.107 -2.071 -3.776 1.750 -4.337 1.104 -5.476 -1.267 3.741" Properties=species:S:1:pos:R:3 pbc="T T T"
Li -4.100 -4.108 1.345
Li -1.732 -3.567 -0.276
Ca -2.738 -0.633 1.870
Rh 0.000 0.000 0.000
F -0.208 -4.163 0.922
F -0.267 -4.635 -1.940
F -2.508 -2.791 -1.981
F -5.624 -3.512 0.148
F -5.565 -3.040 3.009
F -3.324 -4.884 3.050
F -2.986 -5.025 0.036
F -2.847 -2.650 1.033
```

=====

No. 2
Density functional theory data (PBE-GGA) for an optimized crystal structure of FeMoW2.

Final energy: -0.8201 Ry per atom
Calculated formation energy: 141.5 meV/atom
SG: Imm2 (44)

Geometry as extended XYZ:
```
4
Lattice="-3.715 1.392 3.212 -3.902 -3.261 0.437 5.053 0.474 0.539" Properties=species:S:1:pos:R:3 pbc="T T T"
Fe -3.815 -0.936 1.827
Mo -1.325 -1.859 1.398
W 0.000 0.000 0.000
W -1.232 0.467 2.786
```

=====

No. 3
Density functional theory data (PBE-GGA) for an optimized crystal structure of CsRb2Cl.

Formation energy from raw total energies: -0.51 eV per atom
Final energy: -0.1224 Ry per atom
SG: Fm-3m (225)

Geometry as extended XYZ:
```
4
Lattice="0.000 5.157 5.157 5.157 0.000 5.157 5.157 5.157 0.000" Properties=species:S:1:pos:R:3 pbc="T T T"
Cs 5.157 5.157 5.157
Rb 2.578 2.578 2.578
Rb 7.735 7.735 7.735
Cl 0.000 0.000 0.000
```

=====

No. 4
Density functional theory data (PBE-GGA) for an optimized crystal structure of PmCd2Hg.

Final energy: -0.1456 Ry per atom
Calculated formation energy: -260.3 meV/atom
SG: Fm-3m (225)

Geometry as extended XYZ:
```
4
Lattice="5.154 0.000 0.000 2.577 4.463 0.000 2.577 1.488 4.208" Properties=species:S:1:pos:R:3 pbc="T T T"
Cd 2.577 1.488 1.052
Cd 7.731 4.463 3.156
Hg 5.154 2.976 2.104
Pm 0.000 0.000 0.000
```